First-principles (GGA-PBE) data for SrIr2Se after structural relaxation, as listed in Alexandria.

a b c (Å): 6.802 6.802 6.802
angles (deg): 90.00 90.00 90.00
Space group F-43m (No. 216)
One atom of each set of equivalent atoms:
Sr1 0.000 0.000 0.000 x4
Ir1 0.000 0.000 0.500 x4
Ir2 0.250 0.250 0.750 x4
Se1 0.250 0.250 0.250 x4

Results
The total DFT energy (no corrections) is -84.14 eV/cell. Its uncorrected formation energy is 0.463 eV per atom. For the density, the calculation gives 11629 kg/m³.


First-principles (GGA-PBE) data for NaPa2Ti3N6 after structural relaxation, as listed in Alexandria.

a b c (Å): 14.037 3.183 6.580
angles (deg): 90.00 105.52 90.00
Space group C2/m (No. 12)
One atom of each set of equivalent atoms:
Na1 0.000 0.000 0.000 x2
Pa1 0.162 0.500 0.321 x4
Ti1 0.000 0.000 0.500 x2
Ti2 0.158 0.500 0.822 x4
N1 0.004 0.500 0.725 x4
N2 0.158 0.000 0.604 x4
N3 0.173 0.000 0.067 x4

Results
The total DFT energy (no corrections) is -222.11 eV/cell. Its uncorrected formation energy is -1.425 eV per atom. For the density, the calculation gives 8355 kg/m³.


First-principles (GGA-PBE) data for UGe2PtRh2 after structural relaxation, as listed in Alexandria.

a b c (Å): 4.674 4.674 5.507
angles (deg): 90.00 90.00 90.00
Space group P4/mmm (No. 123)
One atom of each set of equivalent atoms:
U1 0.000 0.000 0.000 x1
Ge1 0.000 0.500 0.500 x2
Pt1 0.000 0.000 0.500 x1
Rh1 0.500 0.500 0.242 x2

Results
The total DFT energy (no corrections) is -40.69 eV/cell. The calculated formation energy comes out at 95 meV/atom. For the density, the calculation gives 10826 kg/m³.


First-principles (GGA-PBE) data for KAs2SeF after structural relaxation, as listed in Alexandria.

a b c (Å): 4.539 4.539 5.507
angles (deg): 90.00 90.00 90.00
Space group P4/mmm (No. 123)
One atom of each set of equivalent atoms:
K1 0.000 0.000 0.000 x1
As1 0.000 0.500 0.500 x2
Se1 0.500 0.500 0.000 x1
F1 0.500 0.500 0.500 x1

Results
The total DFT energy (no corrections) is -16.12 eV/cell. The value obtained for the energy above the most stable polymorph in this dataset is 0.000 eV/f.u. Its uncorrected formation energy is -0.073 eV per atom. For the density, the calculation gives 4199 kg/m³.


First-principles (GGA-PBE) data for U4S5Cl after structural relaxation, as listed in Alexandria.

a b c (Å): 7.886 8.920 6.544
angles (deg): 90.00 90.00 90.00
Space group Pmmn (No. 59, origin choice 2)
One atom of each set of equivalent atoms:
U1 0.087 0.250 0.061 x4
U2 0.250 0.540 0.550 x4
S1 0.024 0.550 0.239 x8
S2 0.250 0.750 0.851 x2
Cl1 0.250 0.250 0.440 x2

Results
The total DFT energy (no corrections) is -158.09 eV/cell. Its uncorrected formation energy is -1.141 eV per atom. For the density, the calculation gives 8282 kg/m³.


First-principles (GGA-PBE) data for Pm4Sm2DySc after structural relaxation, as listed in Alexandria.

a b c (Å): 5.075 5.091 10.061
angles (deg): 90.00 90.04 90.00
Space group P2/m (No. 10)
One atom of each set of equivalent atoms:
Pm1 0.000 0.000 0.245 x2
Pm2 0.500 0.500 0.246 x2
Sm1 0.000 0.500 0.000 x1
Sm2 0.500 0.000 0.500 x1
Dy1 0.000 0.500 0.500 x1
Sc1 0.500 0.000 0.000 x1

Results
The total DFT energy (no corrections) is -39.15 eV/cell. The calculated formation energy comes out at 28 meV/atom. For the density, the calculation gives 6951 kg/m³.


First-principles (GGA-PBE) data for YV2C after structural relaxation, as listed in Alexandria.

a b c (Å): 8.514 8.514 8.514
angles (deg): 90.00 90.00 90.00
Space group Fd-3m (No. 227, origin choice 2)
One atom of each set of equivalent atoms:
Y1 0.125 0.125 0.125 x8
V1 0.000 0.000 0.500 x16
C1 0.125 0.125 0.625 x8

Results
The total DFT energy (no corrections) is -259.79 eV/cell. The calculated formation energy comes out at 363 meV/atom. For the density, the calculation gives 4365 kg/m³.


First-principles (GGA-PBE) data for GdHfOs4 after structural relaxation, as listed in Alexandria.

a b c (Å): 7.497 7.497 7.497
angles (deg): 90.00 90.00 90.00
Space group F-43m (No. 216)
One atom of each set of equivalent atoms:
Gd1 0.000 0.000 0.000 x4
Hf1 0.250 0.250 0.250 x4
Os1 0.125 0.125 0.625 x16

Results
The total DFT energy (no corrections) is -281.61 eV/cell. The calculated formation energy comes out at -242 meV/atom. For the density, the calculation gives 17285 kg/m³.


First-principles (GGA-PBE) data for Fe3BI after structural relaxation, as listed in Alexandria.

a b c (Å): 4.043 4.043 4.043
angles (deg): 90.00 90.00 90.00
Space group Pm-3m (No. 221)
One atom of each set of equivalent atoms:
Fe1 0.000 0.000 0.500 x3
B1 0.000 0.000 0.000 x1
I1 0.500 0.500 0.500 x1

Results
The total DFT energy (no corrections) is -30.95 eV/cell. The value obtained for the energy above the most stable polymorph in this dataset is 0.000 eV/f.u. Its uncorrected formation energy is 0.532 eV per atom. For the density, the calculation gives 7668 kg/m³.


First-principles (GGA-PBE) data for MnCrSe4 after structural relaxation, as listed in Alexandria.

a b c (Å): 13.370 3.529 6.117
angles (deg): 90.00 116.85 90.00
Space group C2/m (No. 12)
One atom of each set of equivalent atoms:
Mn1 0.000 0.000 0.000 x2
Cr1 0.000 0.500 0.500 x2
Se1 0.120 0.000 0.788 x4
Se2 0.120 0.500 0.283 x4

Results
The total DFT energy (no corrections) is -71.15 eV/cell. Its uncorrected formation energy is -0.474 eV per atom. For the density, the calculation gives 5453 kg/m³.


First-principles (GGA-PBE) data for Li3SbMo after structural relaxation, as listed in Alexandria.

a b c (Å): 4.734 4.734 4.734
angles (deg): 90.00 90.00 90.00
Space group Pm-3m (No. 221)
One atom of each set of equivalent atoms:
Li1 0.000 0.000 0.500 x3
Sb1 0.000 0.000 0.000 x1
Mo1 0.500 0.500 0.500 x1

Results
The total DFT energy (no corrections) is -15.36 eV/cell. Its uncorrected formation energy is 1.068 eV per atom. For the density, the calculation gives 3733 kg/m³.


First-principles (GGA-PBE) data for CrBr3 after structural relaxation, as listed in Alexandria.

a b c (Å): 3.5793 3.5793 10.0113
angles (deg): 90.00 90.00 120.00
Space group P-6m2 (No. 187)
One atom of each set of equivalent atoms:
Cr1 0.0000 0.0000 0.0000 x1
Br1 0.0000 0.0000 0.5000 x1
Br2 0.3333 0.6667 0.1656 x2

Results
The total DFT energy (no corrections) is -15.31 eV/cell. Its uncorrected formation energy is -0.166 eV per atom. For the density, the calculation gives 4361 kg/m³.


First-principles (GGA-PBE) data for Ac4TlPt after structural relaxation, as listed in Alexandria.

a b c (Å): 15.107 15.107 15.107
angles (deg): 90.00 90.00 90.00
Space group F-43m (No. 216)
One atom of each set of equivalent atoms:
Ac1 0.000 0.000 0.186 x24
Ac2 0.059 0.250 0.750 x24
Ac3 0.098 0.098 0.402 x16
Tl1 0.169 0.169 0.169 x16
Pt1 0.107 0.107 0.607 x16

Results
The total DFT energy (no corrections) is -447.83 eV/cell. The value obtained for the energy above the most stable polymorph in this dataset is 0.000 eV/f.u. The calculated formation energy comes out at -525 meV/atom. For the density, the calculation gives 10076 kg/m³.


First-principles (GGA-PBE) data for Zr4ZnCo2 after structural relaxation, as listed in Alexandria.

a b c (Å): 6.657 6.660 6.701
angles (deg): 74.84 74.84 73.88
Space group P1 (No. 1)
One atom of each set of equivalent atoms:
Zr1 0.000 0.000 0.000 x1
Zr2 0.005 0.424 0.624 x1
Zr3 0.013 0.013 0.464 x1
Zr4 0.424 0.007 0.623 x1
Zr5 0.464 0.973 0.123 x1
Zr6 0.488 0.490 0.480 x1
Zr7 0.496 0.497 0.991 x1
Zr8 0.971 0.464 0.123 x1
Zn1 0.772 0.773 0.380 x1
Zn2 0.778 0.779 0.814 x1
Co1 0.187 0.699 0.260 x1
Co2 0.281 0.282 0.313 x1
Co3 0.290 0.292 0.857 x1
Co4 0.698 0.188 0.261 x1

Results
The total DFT energy (no corrections) is -101.45 eV/cell. The value obtained for the energy above the most stable polymorph in this dataset is 0.000 eV/f.u. The calculated formation energy comes out at -149 meV/atom. For the density, the calculation gives 6750 kg/m³.


First-principles (GGA-PBE) data for Ca4SmCd2 after structural relaxation, as listed in Alexandria.

a b c (Å): 5.7189 5.7189 24.1180
angles (deg): 90.00 90.00 120.00
Space group R-3m (No. 166, hexagonal axes)
One atom of each set of equivalent atoms:
Ca1 0.0000 0.0000 0.0715 x6
Ca2 0.0000 0.0000 0.2278 x6
Sm1 0.0000 0.0000 0.5000 x3
Cd1 0.0000 0.0000 0.3676 x6

Results
The total DFT energy (no corrections) is -44.88 eV/cell. The calculated formation energy comes out at -58 meV/atom. For the density, the calculation gives 3905 kg/m³.


First-principles (GGA-PBE) data for MnAs3Se after structural relaxation, as listed in Alexandria.

a b c (Å): 4.934 4.934 4.934
angles (deg): 90.00 90.00 90.00
Space group Pm-3m (No. 221)
One atom of each set of equivalent atoms:
Mn1 0.000 0.000 0.000 x1
As1 0.000 0.500 0.500 x3
Se1 0.500 0.500 0.500 x1

Results
The total DFT energy (no corrections) is -19.22 eV/cell. The value obtained for the energy above the most stable polymorph in this dataset is 5.747 eV/f.u. Its uncorrected formation energy is 1.477 eV per atom. For the density, the calculation gives 4958 kg/m³.


First-principles (GGA-PBE) data for Ho8Al2Rh after structural relaxation, as listed in Alexandria.

a b c (Å): 18.310 4.990 6.569
angles (deg): 90.00 102.71 90.00
Space group C2/m (No. 12)
One atom of each set of equivalent atoms:
Ho1 0.022 0.000 0.278 x4
Ho2 0.092 0.500 0.955 x4
Ho3 0.149 0.500 0.476 x4
Ho4 0.211 0.000 0.807 x4
Al1 0.188 0.000 0.254 x4
Rh1 0.000 0.500 0.500 x2

Results
The total DFT energy (no corrections) is -109.48 eV/cell. The calculated formation energy comes out at -298 meV/atom. For the density, the calculation gives 8373 kg/m³.


First-principles (GGA-PBE) data for Pm4Te2AsC after structural relaxation, as listed in Alexandria.

a b c (Å): 7.250 4.138 7.587
angles (deg): 90.00 108.27 90.00
Space group P2/m (No. 10)
One atom of each set of equivalent atoms:
Pm1 0.215 0.000 0.201 x2
Pm2 0.238 0.500 0.792 x2
Te1 0.000 0.000 0.500 x1
Te2 0.500 0.500 0.500 x1
As1 0.500 0.000 0.000 x1
C1 0.000 0.500 0.000 x1

Results
The total DFT energy (no corrections) is -48.31 eV/cell. Its uncorrected formation energy is -1.144 eV per atom. For the density, the calculation gives 7085 kg/m³.


First-principles (GGA-PBE) data for LiCd2CSe after structural relaxation, as listed in Alexandria.

a b c (Å): 4.493 4.493 4.591
angles (deg): 90.00 90.00 90.00
Space group P4/mmm (No. 123)
One atom of each set of equivalent atoms:
Li1 0.000 0.000 0.000 x1
Cd1 0.000 0.500 0.500 x2
C1 0.000 0.000 0.500 x1
Se1 0.500 0.500 0.000 x1

Results
The total DFT energy (no corrections) is -14.86 eV/cell. Its uncorrected formation energy is 0.318 eV per atom. For the density, the calculation gives 5782 kg/m³.


First-principles (GGA-PBE) data for RbAlAs2O7 after structural relaxation, as listed in Alexandria.

a b c (Å): 6.357 6.440 8.432
angles (deg): 96.98 103.82 102.39
Space group P-1 (No. 2)
One atom of each set of equivalent atoms:
Rb1 0.000 0.000 0.000 x1
Rb2 0.000 0.000 0.500 x1
Al1 0.374 0.683 0.230 x2
As1 0.179 0.474 0.815 x2
As2 0.492 0.240 0.337 x2
O1 0.089 0.674 0.272 x2
O2 0.223 0.647 0.664 x2
O3 0.227 0.644 0.996 x2
O4 0.327 0.378 0.224 x2
O5 0.337 0.292 0.809 x2
O6 0.414 0.985 0.228 x2
O7 0.473 0.253 0.534 x2

Results
The total DFT energy (no corrections) is -136.41 eV/cell. Its uncorrected formation energy is -1.772 eV per atom. For the density, the calculation gives 3861 kg/m³.


First-principles (GGA-PBE) data for Ag2Ge2Te3 after structural relaxation, as listed in Alexandria.

a b c (Å): 12.470 4.033 8.719
angles (deg): 90.00 104.85 90.00
Space group C2/m (No. 12)
One atom of each set of equivalent atoms:
Ag1 0.160 0.000 0.459 x4
Ge1 0.144 0.500 0.824 x4
Te1 0.000 0.500 0.500 x2
Te2 0.205 0.500 0.201 x4

Results
The total DFT energy (no corrections) is -47.74 eV/cell. Its uncorrected formation energy is 0.070 eV per atom. For the density, the calculation gives 5828 kg/m³.


First-principles (GGA-PBE) data for N after structural relaxation, as listed in Alexandria.

a b c (Å): 10.464 10.464 2.176
angles (deg): 90.00 90.00 90.00
Space group I4/m (No. 87)
One atom of each set of equivalent atoms:
N1 0.069 0.248 0.000 x8
N2 0.137 0.248 0.500 x8

Results
The total DFT energy (no corrections) is -116.87 eV/cell. The value obtained for the energy above the most stable polymorph in this dataset is 1.021 eV/f.u. Its uncorrected formation energy is 1.021 eV per atom. For the density, the calculation gives 1562 kg/m³.


First-principles (GGA-PBE) data for PrSnBi3 after structural relaxation, as listed in Alexandria.

a b c (Å): 6.318 6.903 8.368
angles (deg): 73.28 89.52 63.33
Space group P-1 (No. 2)
One atom of each set of equivalent atoms:
Pr1 0.139 0.489 0.245 x2
Sn1 0.070 0.055 0.157 x2
Bi1 0.264 0.688 0.557 x2
Bi2 0.353 0.063 0.671 x2
Bi3 0.445 0.326 0.926 x2

Results
The total DFT energy (no corrections) is -44.24 eV/cell. The value obtained for the energy above the most stable polymorph in this dataset is 0.000 eV/f.u. The calculated formation energy comes out at -339 meV/atom. For the density, the calculation gives 9522 kg/m³.